First-principles (PBE) data for a geometry-optimized CoPbCl6 structure, as listed in the Alexandria database.

Lattice parameters (Å, degrees): 6.845 6.845 6.845 54.75 54.75 54.75
Positions (direct):
Co (0.000, 0.000, 0.000)
Pb (0.500, 0.500, 0.500)
Cl (0.034, 0.385, 0.803)
Cl (0.197, 0.966, 0.615)
Cl (0.385, 0.803, 0.034)
Cl (0.615, 0.197, 0.966)
Cl (0.803, 0.034, 0.385)
Cl (0.966, 0.615, 0.197)

---

First-principles (PBE) data for a geometry-optimized NaPa4Sb5 structure, as listed in the Alexandria database.

Lattice parameters (Å, degrees): 11.803 11.803 11.803 158.90 149.74 37.19
Positions (direct):
Na (0.000, 0.000, 0.000)
Pa (0.203, 0.203, 0.000)
Pa (0.401, 0.401, 0.000)
Pa (0.599, 0.599, 0.000)
Pa (0.797, 0.797, 0.000)
Sb (0.104, 0.604, 0.500)
Sb (0.302, 0.802, 0.500)
Sb (0.500, 0.000, 0.500)
Sb (0.698, 0.198, 0.500)
Sb (0.896, 0.396, 0.500)

---

Let's list raw formation energy in order: -0.62 -0.41 eV per atom.